Model i:
Entry from Alexandria via LeMat-Bulk: Pr3Tm2Tl after structural relaxation (PBE-GGA).

Properties
The theoretical density comes out at 8.4 g/cm3. Its crystal system is triclinic. Its space-group type is P-1 (2).

Cell: 6.610 6.675 10.109 Å, 101.00 100.14 114.28°
Fractional positions:
Pr  0.108  0.362  0.259
Pr  0.226  0.440  0.939
Pr  0.326  0.553  0.618
Pr  0.674  0.447  0.382
Pr  0.774  0.560  0.061
Pr  0.892  0.638  0.741
Tm  0.199  0.942  0.402
Tm  0.288  0.010  0.067
Tm  0.712  0.990  0.933
Tm  0.801  0.058  0.598
Tl  0.385  0.118  0.733
Tl  0.615  0.882  0.267



Model ii:
Entry from Alexandria via LeMat-Bulk: Pr3Tm2Tl after structural relaxation (PBE-GGA).

Properties
The theoretical density comes out at 8.1 g/cm3. Its crystal system is orthorhombic. Its space-group type is Cmcm (63).

Cell: 9.234 9.234 7.070 Å, 90.00 90.00 40.88°
Fractional positions:
Pr  0.144  0.228  0.750
Pr  0.164  0.836  0.750
Pr  0.228  0.144  0.250
Pr  0.772  0.856  0.750
Pr  0.836  0.164  0.250
Pr  0.856  0.772  0.250
Tm  0.364  0.364  0.000
Tm  0.364  0.364  0.500
Tm  0.636  0.636  0.000
Tm  0.636  0.636  0.500
Tl  0.318  0.682  0.250
Tl  0.682  0.318  0.750



Q: What are the energies relative to the best structure? A: model i 0.000; model ii 0.014, in eV/atom.



Model i:
Entry from Alexandria via LeMat-Bulk: PrTmTl after structural relaxation (PBE-GGA).

Properties
The theoretical density comes out at 9.6 g/cm3. Its crystal system is hexagonal. Its space-group type is P6_3/mmc (194).

Cell: 5.467 5.467 6.843 Å, 90.00 90.00 120.00°
Fractional positions:
Pr  0.000  0.000  0.000
Pr  0.000  0.000  0.500
Tm  0.333  0.667  0.250
Tm  0.667  0.333  0.750
Tl  0.333  0.667  0.750
Tl  0.667  0.333  0.250



Model ii:
Entry from Alexandria via LeMat-Bulk: PrTmTl after structural relaxation (PBE-GGA).

Properties
The theoretical density comes out at 9.3 g/cm3. Its crystal system is tetragonal. Its space-group type is I4mm (107).

Cell: 7.307 7.307 7.307 Å, 150.99 150.99 41.49°
Fractional positions:
Pr  0.000  0.000  0.000
Tm  0.688  0.688  0.000
Tl  0.333  0.333  0.000



Q: What are the energies relative to the best structure? A: model i 0.000; model ii 0.035, in eV/atom.



Model i:
Entry from Alexandria via LeMat-Bulk: PrTmTl after structural relaxation (PBE-GGA).

Properties
The theoretical density comes out at 9.1 g/cm3. Its crystal system is tetragonal. Its space-group type is P4/nmm (129).

Cell: 4.740 4.740 8.360 Å, 90.00 90.00 90.00°
Fractional positions:
Pr  0.250  0.250  0.148
Pr  0.750  0.750  0.852
Tm  0.250  0.750  0.500
Tm  0.750  0.250  0.500
Tl  0.250  0.250  0.758
Tl  0.750  0.750  0.242



Model ii:
Entry from Alexandria via LeMat-Bulk: PrTmTl after structural relaxation (PBE-GGA).

Properties
The theoretical density comes out at 9.2 g/cm3. Its crystal system is trigonal. Its space-group type is P3m1 (156).

Cell: 5.295 5.295 3.817 Å, 90.00 90.00 120.00°
Fractional positions:
Pr  0.000  0.000  0.000
Tm  0.333  0.667  0.514
Tl  0.667  0.333  0.464



Q: What are the energies relative to the best structure? A: model i 0.000; model ii 0.075, in eV/atom.